DFT (PBE) results for a geometry-optimized Rb2AgI6Cl structure.

**Formation energy (no corrections)**: -5.858 eV per formula unit
**Density of states at the Fermi level**: 0.0 states/eV per cell
**Space group**: I4/mmm (139)
**Magnetization**: 0.00 μB per atom

abc: 8.5598 8.5598 8.5457
angles: 59.95 59.95 90.00
Fractional coordinates of all 10 atoms:
I  0.2773  0.2773  0.4453
I  0.7227  0.7227  0.5547
I  0.2232  0.2232  0.0000
I  0.7768  0.7768  0.0000
I  0.7768  0.2232  0.0000
I  0.2232  0.7768  0.0000
Rb  0.7500  0.2500  0.5000
Rb  0.2500  0.7500  0.5000
Ag  0.0000  0.0000  0.0000
Cl  0.5000  0.5000  0.0000